# Cr2TcHPd

Crystalline Cr2TcHPd at its relaxed geometry (GGA-PBE, Alexandria).

Values from the calculation:
The value obtained for the final energy is -7.53 eV per atom.

abc: 3.8208 3.8208 3.7860
angles: 90.00 90.00 90.00
Last column: magnetic moment on the atom in μB.
Fractional positions:
1 H 0.0000 0.0000 0.0000  0.00
2 Cr 0.5000 0.0000 0.0000  0.39
3 Cr 0.0000 0.5000 0.0000  0.39
4 Tc 0.0000 0.0000 0.5000  -0.24
5 Pd 0.5000 0.5000 0.5000  -0.01

=====

# SmHo4P5

Crystalline SmHo4P5 at its relaxed geometry (GGA-PBE, Alexandria).

Values from the calculation:
Its formation energy is -1602 meV per atom. The value obtained for the final energy is -6.61 eV per atom.

abc: 5.6765 6.9497 6.9497
angles: 80.40 65.90 65.90
Fractional positions:
1 P 0.1022 0.5951 0.2024
2 P 0.3046 0.7976 0.5951
3 P 0.5012 0.0000 0.0000
4 P 0.8998 0.4049 0.7976
5 P 0.6973 0.2024 0.4049
6 Ho 0.4000 0.4012 0.8008
7 Ho 0.2008 0.1992 0.4012
8 Ho 0.6020 0.5988 0.1992
9 Ho 0.8012 0.8008 0.5988
10 Sm 0.0012 0.0000 0.0000

=====

# LaIr2W2

Crystalline LaIr2W2 at its relaxed geometry (GGA-PBE, Alexandria).

Values from the calculation:
For the polymorph energy (0 for the lowest one), the calculation gives 85 meV per atom. Its formation energy is -49 meV per atom. The value obtained for the final energy is -9.76 eV per atom.

abc: 8.0192 8.0192 2.8211
angles: 90.00 90.00 90.00
Fractional positions:
1 W 0.1171 0.3829 0.0000
2 W 0.8829 0.6171 0.0000
3 W 0.6171 0.1171 0.0000
4 W 0.3829 0.8829 0.0000
5 Ir 0.1714 0.6714 0.5000
6 Ir 0.3286 0.1714 0.5000
7 Ir 0.6714 0.8286 0.5000
8 Ir 0.8286 0.3286 0.5000
9 La 0.5000 0.5000 0.0000
10 La 0.0000 0.0000 0.0000